Here is a geometry-optimized LiTcNiAs structure from OQMD via LeMat-Bulk. Energies are from GGA-PBE.

a = 4.113 Å, b = 4.113 Å, c = 4.113 Å
α = 60.00°, β = 60.00°, γ = 60.00°
Fractional positions:
Tc1 0.250 0.250 0.250
Li1 0.500 0.500 0.500
As1 0.000 0.000 0.000
Ni1 0.750 0.750 0.750

E above lowest polymorph   0 meV per atom
SG   F-43m, No. 216
E_tot   -5.77 eV/atom
Mass density   8.05 g cm⁻³